Record 1
# TlPt2, PBEsol geometry, DFT SCAN
data_TlPt2
_cell_length_a 5.3814
_cell_length_b 5.3814
_cell_length_c 5.3814
_cell_angle_alpha 60.00
_cell_angle_beta 60.00
_cell_angle_gamma 60.00
_symmetry_space_group_name_H-M 'P 1'
_symmetry_Int_Tables_number 1
loop_
_symmetry_equiv_pos_as_xyz
'x,y,z'
loop_
_atom_site_label
_atom_site_fract_x
_atom_site_fract_y
_atom_site_fract_z
_atom_site_occupancy
Tl1 0.5000 0.5000 0.5000 1
Tl2 0.7500 0.7500 0.7500 1
Pt1 0.1250 0.1250 0.1250 1
Pt2 0.1250 0.1250 0.6250 1
Pt3 0.1250 0.6250 0.1250 1
Pt4 0.6250 0.1250 0.1250 1
# Crystal system: cubic
# Calculated total energy (eV for the cell shown): -425.64


Record 2
# Y3TlPt, PBEsol geometry, DFT SCAN
data_Y3TlPt
_cell_length_a 5.3403
_cell_length_b 5.3403
_cell_length_c 5.3403
_cell_angle_alpha 90.00
_cell_angle_beta 90.00
_cell_angle_gamma 90.00
_symmetry_space_group_name_H-M 'P 1'
_symmetry_Int_Tables_number 1
loop_
_symmetry_equiv_pos_as_xyz
'x,y,z'
loop_
_atom_site_label
_atom_site_fract_x
_atom_site_fract_y
_atom_site_fract_z
_atom_site_occupancy
Y1 0.0000 0.5000 0.0000 1
Y2 0.0000 0.0000 0.5000 1
Y3 0.5000 0.0000 0.0000 1
Tl1 0.5000 0.5000 0.5000 1
Pt1 0.0000 0.0000 0.0000 1
# Crystal system: cubic
# Calculated total energy (eV for the cell shown): -229.28


Record 3
# TlZn2Pt, PBEsol geometry, DFT SCAN
data_TlZn2Pt
_cell_length_a 3.8650
_cell_length_b 4.1111
_cell_length_c 4.1111
_cell_angle_alpha 90.00
_cell_angle_beta 90.00
_cell_angle_gamma 90.00
_symmetry_space_group_name_H-M 'P 1'
_symmetry_Int_Tables_number 1
loop_
_symmetry_equiv_pos_as_xyz
'x,y,z'
loop_
_atom_site_label
_atom_site_fract_x
_atom_site_fract_y
_atom_site_fract_z
_atom_site_occupancy
Pt1 0.5000 0.5000 0.5000 1
Tl1 0.5000 0.0000 0.0000 1
Zn1 0.0000 0.0000 0.5000 1
Zn2 0.0000 0.5000 0.0000 1
# Crystal system: tetragonal
# Calculated total energy (eV for the cell shown): -169.44


Record 4
# TlZn2Pt, PBEsol geometry, DFT SCAN
data_TlZn2Pt
_cell_length_a 3.0323
_cell_length_b 3.0323
_cell_length_c 8.8745
_cell_angle_alpha 80.16
_cell_angle_beta 80.16
_cell_angle_gamma 60.00
_symmetry_space_group_name_H-M 'P 1'
_symmetry_Int_Tables_number 1
loop_
_symmetry_equiv_pos_as_xyz
'x,y,z'
loop_
_atom_site_label
_atom_site_fract_x
_atom_site_fract_y
_atom_site_fract_z
_atom_site_occupancy
Pt1 0.4907 0.4907 0.5278 1
Tl1 0.2478 0.2478 0.2565 1
Zn1 0.0096 0.0096 0.9712 1
Zn2 0.7518 0.7518 0.7445 1
# Crystal system: trigonal
# Calculated total energy (eV for the cell shown): -169.21


Record 5
# TlZn2Pt, PBEsol geometry, DFT SCAN
data_TlZn2Pt
_cell_length_a 2.9260
_cell_length_b 3.3255
_cell_length_c 7.2845
_cell_angle_alpha 90.00
_cell_angle_beta 91.25
_cell_angle_gamma 90.00
_symmetry_space_group_name_H-M 'P 1'
_symmetry_Int_Tables_number 1
loop_
_symmetry_equiv_pos_as_xyz
'x,y,z'
loop_
_atom_site_label
_atom_site_fract_x
_atom_site_fract_y
_atom_site_fract_z
_atom_site_occupancy
Pt1 0.5000 0.5000 0.0000 1
Tl1 0.5000 0.5000 0.5000 1
Zn1 0.9887 0.0000 0.8083 1
Zn2 0.0113 0.0000 0.1917 1
# Crystal system: monoclinic
# Calculated total energy (eV for the cell shown): -170.13


Record 6
# TlZn2Pt, PBEsol geometry, DFT SCAN
data_TlZn2Pt
_cell_length_a 4.5558
_cell_length_b 4.5558
_cell_length_c 4.5558
_cell_angle_alpha 60.00
_cell_angle_beta 60.00
_cell_angle_gamma 60.00
_symmetry_space_group_name_H-M 'P 1'
_symmetry_Int_Tables_number 1
loop_
_symmetry_equiv_pos_as_xyz
'x,y,z'
loop_
_atom_site_label
_atom_site_fract_x
_atom_site_fract_y
_atom_site_fract_z
_atom_site_occupancy
Pt1 0.5000 0.5000 0.5000 1
Tl1 0.2500 0.2500 0.2500 1
Zn1 0.0000 0.0000 0.0000 1
Zn2 0.7500 0.7500 0.7500 1
# Crystal system: cubic
# Calculated total energy (eV for the cell shown): -169.15


Record 7
# Tl3ZnPt, PBEsol geometry, DFT SCAN
data_Tl3ZnPt
_cell_length_a 5.0610
_cell_length_b 5.0610
_cell_length_c 5.0610
_cell_angle_alpha 90.00
_cell_angle_beta 90.00
_cell_angle_gamma 90.00
_symmetry_space_group_name_H-M 'P 1'
_symmetry_Int_Tables_number 1
loop_
_symmetry_equiv_pos_as_xyz
'x,y,z'
loop_
_atom_site_label
_atom_site_fract_x
_atom_site_fract_y
_atom_site_fract_z
_atom_site_occupancy
Tl1 0.0000 0.5000 0.0000 1
Tl2 0.0000 0.0000 0.5000 1
Tl3 0.5000 0.0000 0.0000 1
Zn1 0.0000 0.0000 0.0000 1
Pt1 0.5000 0.5000 0.5000 1
# Crystal system: cubic
# Calculated total energy (eV for the cell shown): -297.73


Record 8
# TlZn2Pt, PBEsol geometry, DFT SCAN
data_TlZn2Pt
_cell_length_a 3.4580
_cell_length_b 3.4580
_cell_length_c 5.6150
_cell_angle_alpha 90.00
_cell_angle_beta 90.00
_cell_angle_gamma 90.00
_symmetry_space_group_name_H-M 'P 1'
_symmetry_Int_Tables_number 1
loop_
_symmetry_equiv_pos_as_xyz
'x,y,z'
loop_
_atom_site_label
_atom_site_fract_x
_atom_site_fract_y
_atom_site_fract_z
_atom_site_occupancy
Pt1 0.0000 0.0000 0.4641 1
Tl1 0.5000 0.5000 0.7527 1
Zn1 0.0000 0.0000 0.0181 1
Zn2 0.5000 0.5000 0.2650 1
# Crystal system: tetragonal
# Calculated total energy (eV for the cell shown): -169.81


Record 9
# Tm3Pt, PBEsol geometry, DFT SCAN
data_Tm3Pt
_cell_length_a 6.3352
_cell_length_b 6.8472
_cell_length_c 9.1884
_cell_angle_alpha 90.00
_cell_angle_beta 90.00
_cell_angle_gamma 90.00
_symmetry_space_group_name_H-M 'P 1'
_symmetry_Int_Tables_number 1
loop_
_symmetry_equiv_pos_as_xyz
'x,y,z'
loop_
_atom_site_label
_atom_site_fract_x
_atom_site_fract_y
_atom_site_fract_z
_atom_site_occupancy
Tm1 0.3182 0.6830 0.0584 1
Tm2 0.1818 0.1830 0.4416 1
Tm3 0.6818 0.3170 0.5584 1
Tm4 0.8182 0.8170 0.9416 1
Tm5 0.6818 0.3170 0.9416 1
Tm6 0.8182 0.8170 0.5584 1
Tm7 0.3182 0.6830 0.4416 1
Tm8 0.1818 0.1830 0.0584 1
Tm9 0.8782 0.5230 0.2500 1
Tm10 0.6218 0.0230 0.2500 1
Tm11 0.1218 0.4770 0.7500 1
Tm12 0.3782 0.9770 0.7500 1
Pt1 0.0436 0.8931 0.2500 1
Pt2 0.4564 0.3931 0.2500 1
Pt3 0.9564 0.1069 0.7500 1
Pt4 0.5436 0.6069 0.7500 1
# Crystal system: orthorhombic
# Calculated total energy (eV for the cell shown): -917.35


Record 10
# TmPt2, PBEsol geometry, DFT SCAN
data_TmPt2
_cell_length_a 5.3290
_cell_length_b 5.3290
_cell_length_c 5.3290
_cell_angle_alpha 60.00
_cell_angle_beta 60.00
_cell_angle_gamma 60.00
_symmetry_space_group_name_H-M 'P 1'
_symmetry_Int_Tables_number 1
loop_
_symmetry_equiv_pos_as_xyz
'x,y,z'
loop_
_atom_site_label
_atom_site_fract_x
_atom_site_fract_y
_atom_site_fract_z
_atom_site_occupancy
Tm1 0.7500 0.7500 0.7500 1
Tm2 0.5000 0.5000 0.5000 1
Pt1 0.6250 0.1250 0.1250 1
Pt2 0.1250 0.1250 0.1250 1
Pt3 0.1250 0.1250 0.6250 1
Pt4 0.1250 0.6250 0.1250 1
# Crystal system: cubic
# Calculated total energy (eV for the cell shown): -392.32


Record 11
# TmPt, PBEsol geometry, DFT SCAN
data_TmPt
_cell_length_a 4.4607
_cell_length_b 5.4419
_cell_length_c 6.7275
_cell_angle_alpha 90.00
_cell_angle_beta 90.00
_cell_angle_gamma 90.00
_symmetry_space_group_name_H-M 'P 1'
_symmetry_Int_Tables_number 1
loop_
_symmetry_equiv_pos_as_xyz
'x,y,z'
loop_
_atom_site_label
_atom_site_fract_x
_atom_site_fract_y
_atom_site_fract_z
_atom_site_occupancy
Tm1 0.2500 0.6423 0.1813 1
Tm2 0.7500 0.3577 0.8187 1
Tm3 0.7500 0.1423 0.3187 1
Tm4 0.2500 0.8577 0.6813 1
Pt1 0.2500 0.1564 0.0427 1
Pt2 0.7500 0.8436 0.9573 1
Pt3 0.7500 0.6564 0.4573 1
Pt4 0.2500 0.3436 0.5427 1
# Crystal system: orthorhombic
# Calculated total energy (eV for the cell shown): -500.50


Record 12
# TmPt3, PBEsol geometry, DFT SCAN
data_TmPt3
_cell_length_a 4.0286
_cell_length_b 4.0286
_cell_length_c 4.0286
_cell_angle_alpha 90.00
_cell_angle_beta 90.00
_cell_angle_gamma 90.00
_symmetry_space_group_name_H-M 'P 1'
_symmetry_Int_Tables_number 1
loop_
_symmetry_equiv_pos_as_xyz
'x,y,z'
loop_
_atom_site_label
_atom_site_fract_x
_atom_site_fract_y
_atom_site_fract_z
_atom_site_occupancy
Tm1 0.0000 0.0000 0.0000 1
Pt1 0.0000 0.5000 0.5000 1
Pt2 0.5000 0.0000 0.5000 1
Pt3 0.5000 0.5000 0.0000 1
# Crystal system: cubic
# Calculated total energy (eV for the cell shown): -267.26


Number 1: formation energy -0.03 eV per atom. Number 2: formation energy -0.64 eV per atom. Number 3: formation energy 0.04 eV per atom. Number 4: formation energy 0.09 eV per atom. Number 5: formation energy -0.14 eV per atom. Number 6: formation energy 0.11 eV per atom. Number 7: formation energy 0.61 eV per atom. Number 8: formation energy -0.06 eV per atom. Number 9: formation energy -0.91 eV per atom. Number 10: formation energy -1.31 eV per atom. Number 11: formation energy -1.55 eV per atom. Number 12: formation energy -1.21 eV per atom.